(1)
# TiSiI3

TiSiI3 after structural relaxation (PBE-GGA, the Alexandria database).

Lattice parameters (Å, degrees): 5.5742 5.5742 5.5742 90.00 90.00 90.00
Last column: nearest neighbours and their distance in Å.
Fractional coordinates of all 5 atoms:
I 0.0000 0.5000 0.0000  2 Si 2.79
I 0.0000 0.0000 0.5000  2 Si 2.79
I 0.5000 0.0000 0.0000  2 Si 2.79
Si 0.0000 0.0000 0.0000  6 I 2.79
Ti 0.5000 0.5000 0.5000  12 I 3.94

Its density of states at the Fermi level is 4.196 states/eV/atom.



(2)
# TiSiI3

TiSiI3 after structural relaxation (PBE-GGA, the Alexandria database).

Lattice parameters (Å, degrees): 5.5695 5.5695 5.5695 90.00 90.00 90.00
Last column: nearest neighbours and their distance in Å.
Fractional coordinates of all 5 atoms:
I 0.0000 0.5000 0.0000  2 Ti 2.78
I 0.0000 0.0000 0.5000  2 Ti 2.78
I 0.5000 0.0000 0.0000  2 Ti 2.78
Si 0.5000 0.5000 0.5000  12 I 3.94
Ti 0.0000 0.0000 0.0000  6 I 2.78

Its density of states at the Fermi level is 0.825 states/eV/atom.



Which of them is least stable? Easy: (1).



(1)
# Ti2SiI

Ti2SiI after structural relaxation (PBE-GGA, the Alexandria database).

Lattice parameters (Å, degrees): 4.6678 4.6678 4.6678 60.00 60.00 60.00
Last column: nearest neighbours and their distance in Å.
Fractional coordinates of all 4 atoms:
I 0.5000 0.5000 0.5000  8 Ti 2.86
Si 0.0000 0.0000 0.0000  8 Ti 2.86
Ti 0.2500 0.2500 0.2500  4 I 2.86, 4 Si 2.86
Ti 0.7500 0.7500 0.7500  4 Si 2.86, 4 I 2.86

Its density of states at the Fermi level is 1.087 states/eV/atom.



(2)
# Ti2SiI

Ti2SiI after structural relaxation (PBE-GGA, the Alexandria database).

Lattice parameters (Å, degrees): 5.7709 5.7709 7.5546 67.55 67.55 90.00
Last column: nearest neighbours and their distance in Å.
Fractional coordinates of all 8 atoms:
I 0.0000 0.0000 0.0000  4 Ti 2.79
I 0.7500 0.2500 0.5000  4 Ti 2.79
Si 0.5000 0.5000 0.0000  4 Ti 2.41
Si 0.2500 0.7500 0.5000  4 Ti 2.41
Ti 0.5662 0.1250 0.2500  2 Si 2.41
Ti 0.1838 0.6250 0.2500  2 Si 2.41
Ti 0.3750 0.4338 0.7500  2 Si 2.41
Ti 0.8750 0.8162 0.7500  2 Si 2.41

Its density of states at the Fermi level is 0.999 states/eV/atom.



Which of them is least stable? Easy: (2).



(1)
# TiSi3I

TiSi3I after structural relaxation (PBE-GGA, the Alexandria database).

Lattice parameters (Å, degrees): 4.9688 4.9688 4.9688 90.00 90.00 90.00
Last column: nearest neighbours and their distance in Å.
Fractional coordinates of all 5 atoms:
I 0.5000 0.5000 0.5000  12 Si 3.51
Si 0.0000 0.5000 0.0000  2 Ti 2.48
Si 0.0000 0.0000 0.5000  2 Ti 2.48
Si 0.5000 0.0000 0.0000  2 Ti 2.48
Ti 0.0000 0.0000 0.0000  6 Si 2.48

Its density of states at the Fermi level is 1.391 states/eV/atom.



(2)
# TiSi3I

TiSi3I after structural relaxation (PBE-GGA, the Alexandria database).

Lattice parameters (Å, degrees): 5.1281 5.1281 5.1281 90.00 90.00 90.00
Last column: nearest neighbours and their distance in Å.
Fractional coordinates of all 5 atoms:
I 0.0000 0.0000 0.0000  6 Si 2.56
Si 0.0000 0.5000 0.0000  2 I 2.56
Si 0.0000 0.0000 0.5000  2 I 2.56
Si 0.5000 0.0000 0.0000  2 I 2.56
Ti 0.5000 0.5000 0.5000  12 Si 3.63

Its density of states at the Fermi level is 1.380 states/eV/atom.



Which of them is least stable? Easy: (2).



(1)
# Tl2SiI

Tl2SiI after structural relaxation (PBE-GGA, the Alexandria database).

Lattice parameters (Å, degrees): 5.5536 5.5536 5.5536 60.00 60.00 60.00
Last column: nearest neighbours and their distance in Å.
Fractional coordinates of all 4 atoms:
I 0.5000 0.5000 0.5000  8 Tl 3.40
Tl 0.2500 0.2500 0.2500  4 I 3.40, 4 Si 3.40
Tl 0.7500 0.7500 0.7500  4 I 3.40, 4 Si 3.40
Si 0.0000 0.0000 0.0000  8 Tl 3.40

Its density of states at the Fermi level is 0.628 states/eV/atom.



(2)
# Tl2SiI

Tl2SiI after structural relaxation (PBE-GGA, the Alexandria database).

Lattice parameters (Å, degrees): 6.8455 6.8455 8.6499 66.69 66.69 90.00
Last column: nearest neighbours and their distance in Å.
Fractional coordinates of all 8 atoms:
I 0.0000 0.0000 0.0000  4 Tl 3.34
I 0.7500 0.2500 0.5000  4 Tl 3.34
Tl 0.5481 0.1250 0.2500  2 Si 2.75
Tl 0.2019 0.6250 0.2500  2 Si 2.75
Tl 0.3750 0.4519 0.7500  2 Si 2.75
Tl 0.8750 0.7981 0.7500  2 Si 2.75
Si 0.5000 0.5000 0.0000  4 Tl 2.75
Si 0.2500 0.7500 0.5000  4 Tl 2.75

Its density of states at the Fermi level is 0.298 states/eV/atom.



Which of them is least stable? Easy: (1).